Record 1
TmCl: optimized geometry, GGA-PBE.

Results
* crystal system: hexagonal

```
2
Lattice="3.4217 0.0000 0.0000 -1.7108 2.9632 0.0000 0.0000 0.0000 4.3225" Properties=species:S:1:pos:R:3 pbc="T T T"
Tm 0.0000 0.0000 0.0000
Cl 0.0000 1.9755 2.1613
```


Record 2
YHoSe6: optimized geometry, GGA-PBE.

Results
* crystal system: orthorhombic

```
8
Lattice="3.9099 0.0000 0.0000 0.0000 1.9548 12.7227 0.0000 -1.9548 12.7227" Properties=species:S:1:pos:R:3 pbc="T T T"
Y 0.0000 0.0000 0.0000
Ho 1.9549 0.0000 8.8331
Se 0.0000 0.0000 6.4738
Se 0.0000 0.0000 15.0914
Se 0.0000 0.0000 22.4203
Se 1.9549 0.0000 2.3688
Se 1.9549 0.0000 11.8509
Se 1.9549 0.0000 19.1965
```


Number 1: final energy -4.36 eV/atom. Number 2: final energy -5.18 eV/atom.